(1)
Dy2PCl2: optimized geometry, PBE.

```
Dy2PCl2
1.0
3.946 0.000 0.000
-1.973 3.417 0.000
0.000 0.000 30.369
Dy P Cl
6 3 6
direct
0.000 0.000 0.116
0.000 0.000 0.884
0.333 0.667 0.551
0.333 0.667 0.783
0.667 0.333 0.217
0.667 0.333 0.449
0.000 0.000 0.500
0.333 0.667 0.167
0.667 0.333 0.833
0.000 0.000 0.271
0.000 0.000 0.729
0.333 0.667 0.395
0.333 0.667 0.938
0.667 0.333 0.062
0.667 0.333 0.605
```

Total energy = -5.624 eV/atom
ΔE_f (raw) = -1.96 eV per atom
Symmetry = No. 166

(2)
Ce2Dy5Ho12: optimized geometry, PBE.

```
Ce2Dy5Ho12
1.0
7.695 -4.575 0.000
7.695 4.575 0.000
-0.383 0.000 8.549
Ce Dy Ho
2 5 12
direct
0.149 0.851 0.000
0.851 0.149 0.000
0.214 0.214 0.038
0.269 0.269 0.435
0.500 0.500 0.500
0.731 0.731 0.565
0.786 0.786 0.962
0.059 0.059 0.343
0.059 0.676 0.315
0.176 0.534 0.762
0.324 0.941 0.685
0.432 0.432 0.128
0.466 0.824 0.238
0.534 0.176 0.762
0.568 0.568 0.872
0.676 0.059 0.315
0.824 0.466 0.238
0.941 0.324 0.685
0.941 0.941 0.657
```

Total energy = -4.585 eV/atom
Symmetry = No. 12
Relative energy among the computed polymorphs = 5 meV per atom

(3)
SrNd3In4: optimized geometry, PBE.

```
SrNd3In4
1.0
5.539 0.000 0.000
0.000 5.539 0.000
0.000 0.000 7.839
Sr Nd In
1 3 4
direct
0.000 0.000 0.000
0.000 0.000 0.500
0.500 0.500 0.000
0.500 0.500 0.500
0.000 0.500 0.256
0.000 0.500 0.744
0.500 0.000 0.256
0.500 0.000 0.744
```

Total energy = -3.823 eV/atom
Symmetry = No. 123

(4)
AsIrSe2: optimized geometry, PBE.

```
AsIrSe2
1.0
3.006 0.000 0.000
0.000 3.006 0.000
0.000 0.000 8.561
As Ir Se
1 1 2
direct
0.000 0.000 0.000
0.000 0.000 0.500
0.500 0.500 0.307
0.500 0.500 0.693
```

Total energy = -4.658 eV/atom
ΔE_f (raw) = 0.46 eV per atom
Symmetry = No. 123

(5)
Na4Ac3CuO8: optimized geometry, PBE.

```
Na4Ac3CuO8
1.0
6.620 -3.507 0.000
6.620 3.507 0.000
-3.348 0.000 5.890
Na Ac Cu O
4 3 1 8
direct
0.000 0.000 0.000
0.000 0.500 0.500
0.500 0.000 0.500
0.500 0.500 0.000
0.000 0.000 0.500
0.000 0.500 0.000
0.500 0.000 0.000
0.500 0.500 0.500
0.193 0.193 0.180
0.218 0.218 0.714
0.277 0.665 0.276
0.335 0.723 0.724
0.665 0.277 0.276
0.723 0.335 0.724
0.782 0.782 0.286
0.807 0.807 0.820
```

Total energy = -5.901 eV/atom
ΔE_f (raw) = -2.07 eV per atom
Symmetry = No. 12

(6)
Y2Hg2Te: optimized geometry, PBE.

```
Y2Hg2Te
1.0
5.686 0.000 0.000
0.000 5.686 0.000
0.000 0.000 9.482
Y Hg Te
4 4 2
direct
0.000 0.500 0.250
0.000 0.500 0.750
0.500 0.000 0.250
0.500 0.000 0.750
0.000 0.000 0.144
0.000 0.000 0.856
0.500 0.500 0.356
0.500 0.500 0.644
0.000 0.000 0.500
0.500 0.500 0.000
```

Total energy = -3.573 eV/atom
ΔE_f (raw) = -0.24 eV per atom
Symmetry = No. 139
Relative energy among the computed polymorphs = 391 meV per atom

(7)
YAg2: optimized geometry, PBE.

```
YAg2
1.0
6.087 0.000 0.000
0.000 5.225 0.000
0.000 0.000 8.430
Y Ag
4 8
direct
0.197 0.250 0.094
0.303 0.750 0.594
0.697 0.250 0.406
0.803 0.750 0.906
0.031 0.750 0.256
0.196 0.250 0.447
0.304 0.750 0.947
0.469 0.250 0.756
0.531 0.750 0.244
0.696 0.250 0.053
0.804 0.750 0.553
0.969 0.250 0.744
```

Total energy = -4.294 eV/atom
Symmetry = No. 62

(8)
CuReSb2: optimized geometry, PBE.

```
CuReSb2
1.0
3.356 0.000 0.000
0.000 3.356 0.000
0.000 0.000 7.487
Cu Re Sb
1 1 2
direct
0.000 0.000 0.000
0.500 0.500 0.185
0.000 0.000 0.380
0.500 0.500 0.817
```

Total energy = -5.800 eV/atom
ΔE_f (raw) = 0.40 eV per atom
Symmetry = No. 99
Relative energy among the computed polymorphs = 75 meV per atom

(9)
LiThMgRh: optimized geometry, PBE.

```
LiThMgRh
1.0
6.860 0.000 0.000
0.000 6.860 0.000
0.000 0.000 6.860
Li Th Mg Rh
4 4 4 4
direct
0.000 0.000 0.000
0.000 0.500 0.500
0.500 0.000 0.500
0.500 0.500 0.000
0.250 0.250 0.750
0.250 0.750 0.250
0.750 0.250 0.250
0.750 0.750 0.750
0.250 0.250 0.250
0.250 0.750 0.750
0.750 0.250 0.750
0.750 0.750 0.250
0.000 0.000 0.500
0.000 0.500 0.000
0.500 0.000 0.000
0.500 0.500 0.500
```

Total energy = -4.925 eV/atom
Symmetry = No. 216

(10)
SiPt2Rh: optimized geometry, PBE.

```
SiPt2Rh
1.0
3.927 0.000 0.000
0.000 3.927 0.000
0.000 0.000 7.554
Si Pt Rh
2 4 2
direct
0.000 0.000 0.000
0.500 0.500 0.500
0.000 0.500 0.250
0.000 0.500 0.750
0.500 0.000 0.250
0.500 0.000 0.750
0.000 0.000 0.500
0.500 0.500 0.000
```

Total energy = -6.447 eV/atom
ΔE_f (raw) = -0.23 eV per atom
Symmetry = No. 139

(11)
LiZn4Ir: optimized geometry, PBE.

```
LiZn4Ir
1.0
0.000 3.498 3.498
3.498 0.000 3.498
3.498 3.498 0.000
Li Zn Ir
1 4 1
direct
0.000 0.000 0.000
0.375 0.375 0.375
0.375 0.375 0.874
0.375 0.874 0.375
0.874 0.375 0.375
0.750 0.750 0.750
```

Total energy = -2.752 eV/atom
Symmetry = No. 216
Relative energy among the computed polymorphs = 104 meV per atom

(12)
LaPmBiSb: optimized geometry, PBE.

```
LaPmBiSb
1.0
4.604 0.000 0.000
-2.302 3.987 0.000
0.000 0.000 22.519
La Pm Bi Sb
3 3 3 3
direct
0.000 0.000 0.000
0.333 0.667 0.667
0.667 0.333 0.333
0.000 0.000 0.496
0.333 0.667 0.163
0.667 0.333 0.830
0.000 0.000 0.246
0.333 0.667 0.913
0.667 0.333 0.579
0.000 0.000 0.750
0.333 0.667 0.417
0.667 0.333 0.084
```

Total energy = -5.535 eV/atom
ΔE_f (raw) = -1.11 eV per atom
Symmetry = No. 160
Relative energy among the computed polymorphs = 0 meV per atom

(13)
Hg3Bi: optimized geometry, PBE.

```
Hg3Bi
1.0
7.588 0.000 0.000
0.000 7.588 0.000
0.000 0.000 7.588
Hg Bi
12 4
direct
0.000 0.000 0.000
0.000 0.500 0.500
0.250 0.250 0.250
0.250 0.250 0.750
0.250 0.750 0.250
0.250 0.750 0.750
0.500 0.000 0.500
0.500 0.500 0.000
0.750 0.250 0.250
0.750 0.250 0.750
0.750 0.750 0.250
0.750 0.750 0.750
0.000 0.000 0.500
0.000 0.500 0.000
0.500 0.000 0.000
0.500 0.500 0.500
```

Total energy = -1.051 eV/atom
Symmetry = No. 225

(14)
CaCu2Br: optimized geometry, PBE.

```
CaCu2Br
1.0
6.950 0.000 0.000
0.000 6.950 0.000
0.000 0.000 6.950
Ca Cu Br
4 8 4
direct
0.000 0.000 0.000
0.000 0.500 0.500
0.500 0.000 0.500
0.500 0.500 0.000
0.250 0.250 0.250
0.250 0.250 0.750
0.250 0.750 0.250
0.250 0.750 0.750
0.750 0.250 0.250
0.750 0.250 0.750
0.750 0.750 0.250
0.750 0.750 0.750
0.000 0.000 0.500
0.000 0.500 0.000
0.500 0.000 0.000
0.500 0.500 0.500
```

Total energy = -2.787 eV/atom
ΔE_f (raw) = 0.18 eV per atom
Symmetry = No. 225
Relative energy among the computed polymorphs = 634 meV per atom

(15)
AcDy3Al8: optimized geometry, PBE.

```
AcDy3Al8
1.0
5.638 0.000 0.000
-2.819 4.882 0.000
0.000 0.000 9.318
Ac Dy Al
1 3 8
direct
0.000 0.000 0.000
0.000 0.000 0.366
0.667 0.333 0.499
0.667 0.333 0.861
0.162 0.325 0.675
0.162 0.838 0.675
0.333 0.667 0.437
0.333 0.667 0.928
0.505 0.009 0.194
0.505 0.495 0.194
0.675 0.838 0.675
0.991 0.495 0.194
```

Total energy = -4.430 eV/atom
Symmetry = No. 156
Relative energy among the computed polymorphs = 8 meV per atom

(16)
SrFeI: optimized geometry, PBE.

```
SrFeI
1.0
7.375 0.000 0.000
0.000 4.256 0.000
-2.487 0.000 12.839
Sr Fe I
4 4 4
direct
0.000 0.000 0.000
0.123 0.000 0.366
0.500 0.500 0.000
0.623 0.500 0.366
0.229 0.500 0.183
0.395 0.000 0.183
0.729 0.000 0.183
0.895 0.500 0.183
0.012 0.500 0.529
0.278 0.000 0.837
0.512 0.000 0.529
0.778 0.500 0.837
```

Total energy = -4.298 eV/atom
ΔE_f (raw) = -0.40 eV per atom
Symmetry = No. 8

(17)
AlFeSnSb2: optimized geometry, PBE.

```
AlFeSnSb2
1.0
5.686 0.000 0.000
0.000 5.686 0.000
0.000 0.000 5.077
Al Fe Sn Sb
1 1 1 2
direct
0.000 0.000 0.000
0.500 0.500 0.000
0.000 0.000 0.500
0.000 0.500 0.500
0.500 0.000 0.500
```

Total energy = -3.591 eV/atom
ΔE_f (raw) = 1.30 eV per atom
Symmetry = No. 123

(18)
La4Zn3Pd: optimized geometry, PBE.

```
La4Zn3Pd
1.0
3.769 0.000 0.000
0.000 3.769 0.000
0.000 0.000 14.780
La Zn Pd
4 3 1
direct
0.000 0.000 0.118
0.000 0.000 0.373
0.000 0.000 0.627
0.000 0.000 0.882
0.500 0.500 0.250
0.500 0.500 0.500
0.500 0.500 0.750
0.500 0.500 0.000
```

Total energy = -4.013 eV/atom
Symmetry = No. 123

(19)
Ba2TaF: optimized geometry, PBE.

```
Ba2TaF
1.0
8.027 0.000 0.000
0.000 8.027 0.000
0.000 0.000 8.636
Ba Ta F
8 4 4
direct
0.166 0.250 0.125
0.250 0.666 0.375
0.250 0.834 0.875
0.334 0.250 0.625
0.666 0.750 0.625
0.750 0.166 0.875
0.750 0.334 0.375
0.834 0.750 0.125
0.000 0.000 0.500
0.000 0.500 0.750
0.500 0.000 0.250
0.500 0.500 0.000
0.000 0.000 0.000
0.000 0.500 0.250
0.500 0.000 0.750
0.500 0.500 0.500
```

Total energy = -4.650 eV/atom
ΔE_f (raw) = -0.26 eV per atom
Symmetry = No. 122
Relative energy among the computed polymorphs = 0 meV per atom

(20)
NaLi2Sc: optimized geometry, PBE.

```
NaLi2Sc
1.0
7.812 0.000 0.000
0.000 7.812 0.000
0.000 0.000 6.304
Na Li Sc
4 8 4
direct
0.000 0.000 0.000
0.000 0.500 0.250
0.500 0.000 0.750
0.500 0.500 0.500
0.233 0.250 0.125
0.250 0.733 0.375
0.250 0.767 0.875
0.267 0.250 0.625
0.733 0.750 0.625
0.750 0.233 0.875
0.750 0.267 0.375
0.767 0.750 0.125
0.000 0.000 0.500
0.000 0.500 0.750
0.500 0.000 0.250
0.500 0.500 0.000
```

Total energy = -2.456 eV/atom
Symmetry = No. 122
Relative energy among the computed polymorphs = 245 meV per atom